Pm4HoCd5 | PBE-GGA | optimized geometry

Results
Formation energy (eV/atom): -0.3168
Magnetization (μB per formula unit): 1.86
SG: No. 123
DFT total energy (eV/atom): -3.132

abc: 3.804 3.804 19.132
angles: 90.00 90.00 90.00
Each line ends with the local moment (μB).
Atoms (fractional coordinates):
Pm1 0.000 0.000 0.196  0.20
Pm2 0.000 0.000 0.399  0.18
Pm3 0.000 0.000 0.601  0.18
Pm4 0.000 0.000 0.804  0.20
Ho1 0.000 0.000 0.000  0.13
Cd1 0.500 0.500 0.093  0.01
Cd2 0.500 0.500 0.298  0.02
Cd3 0.500 0.500 0.500  0.01
Cd4 0.500 0.500 0.702  0.02
Cd5 0.500 0.500 0.907  0.01